# 1
The following is a DFT calculation (GGA-PBEsol) of an optimized crystal structure of LiFeO3.

Unit cell a=3.640 b=3.640 c=3.640 alpha=90.00 beta=90.00 gamma=90.00
Space group Pm-3m (No. 221)
Inequivalent atoms, fractional coordinates:
Li 0.000 0.000 0.000 (multiplicity 1)
Fe 0.500 0.500 0.500 (multiplicity 1)
O 0.000 0.500 0.500 (multiplicity 3)

The raw total energy is -6.48 eV per atom. The value obtained for the volume is 48 Å³ per cell.

***

# 2
The following is a DFT calculation (GGA-PBEsol) of an optimized crystal structure of Li5Fe3O8.

Unit cell a=5.5251 b=5.5251 c=9.5115 alpha=90.00 beta=90.00 gamma=120.00
Space group P6_3mc (No. 186)
Inequivalent atoms, fractional coordinates:
Li 0.1652 0.3305 0.0000 (multiplicity 6)
Li 0.3333 0.6667 0.5190 (multiplicity 2)
Li 0.3333 0.6667 0.7676 (multiplicity 2)
Fe 0.1717 0.3434 0.2603 (multiplicity 6)
O 0.0000 0.0000 0.3652 (multiplicity 2)
O 0.0162 0.5081 0.3759 (multiplicity 6)
O 0.1583 0.3167 0.6523 (multiplicity 6)
O 0.3333 0.6667 0.1428 (multiplicity 2)

The raw total energy is -6.61 eV per atom. The value obtained for the volume is 251 Å³ per cell.

***

# 3
The following is a DFT calculation (GGA-PBEsol) of an optimized crystal structure of Li2FeO3.

Unit cell a=4.771 b=4.797 c=8.147 alpha=90.00 beta=90.00 gamma=90.00
Space group Pnna (No. 52)
Inequivalent atoms, fractional coordinates:
Li 0.250 0.000 0.074 (multiplicity 4)
Li 0.250 0.000 0.761 (multiplicity 4)
Fe 0.250 0.000 0.408 (multiplicity 4)
O 0.074 0.214 0.574 (multiplicity 8)
O 0.104 0.250 0.250 (multiplicity 4)

The raw total energy is -6.46 eV per atom. The value obtained for the volume is 186 Å³ per cell.

***

Number 1: raw formation energy -1.143 eV/atom, calculated density 3.81 Mg/m³, density of states at the Fermi level 1.66 states/eV/f.u.. Number 2: raw formation energy -1.690 eV/atom, calculated density 4.36 Mg/m³, density of states at the Fermi level 7.74 states/eV/f.u.. Number 3: raw formation energy -1.688 eV/atom, calculated density 4.19 Mg/m³, density of states at the Fermi level 2.40 states/eV/f.u..